1.
Material: AsPIr2
Method: DFT, GGA-PBE
State: relaxed

Results
ΔE_f ... 1.0 eV/f.u.
V ... 59 Å³ per cell
Symmetry ... Fm-3m, No. 225
Polymorph energy (0 for the lowest one) ... 535 meV per atom

a = 4.365 Å, b = 4.365 Å, c = 4.365 Å
α = 60.00°, β = 60.00°, γ = 60.00°
Fractional coordinates of all 4 atoms:
Ir  0.250  0.250  0.250
Ir  0.750  0.750  0.750
P  0.000  0.000  0.000
As  0.500  0.500  0.500


2.
Material: AsPIr2
Method: DFT, GGA-PBE
State: relaxed

Results
ΔE_f ... 0.7 eV/f.u.
V ... 61 Å³ per cell
Symmetry ... Imm2, No. 44
Polymorph energy (0 for the lowest one) ... 456 meV per atom

a = 5.370 Å, b = 5.370 Å, c = 5.370 Å
α = 148.49°, β = 130.99°, γ = 59.44°
Fractional coordinates of all 4 atoms:
P  0.518  0.518  0.000
Ir  0.724  0.224  0.500
Ir  0.010  0.010  0.000
As  0.248  0.748  0.500


3.
Material: AsP4Ir
Method: DFT, GGA-PBE
State: relaxed

Results
ΔE_f ... 5.7 eV/f.u.
V ... 91 Å³ per cell
Symmetry ... F-43m, No. 216

a = 5.057 Å, b = 5.057 Å, c = 5.057 Å
α = 60.00°, β = 60.00°, γ = 60.00°
Fractional coordinates of all 6 atoms:
P  0.376  0.376  0.376
P  0.871  0.376  0.376
P  0.376  0.871  0.376
P  0.376  0.376  0.871
Ir  0.000  0.000  0.000
As  0.750  0.750  0.750


4.
Material: AsPIr
Method: DFT, GGA-PBE
State: relaxed

Results
ΔE_f ... 1.1 eV/f.u.
V ... 50 Å³ per cell
Symmetry ... F-43m, No. 216
Polymorph energy (0 for the lowest one) ... 972 meV per atom

a = 4.143 Å, b = 4.143 Å, c = 4.143 Å
α = 60.00°, β = 60.00°, γ = 60.00°
Fractional coordinates of all 3 atoms:
Ir  0.500  0.500  0.500
P  0.250  0.250  0.250
As  0.000  0.000  0.000


5.
Material: AsPIr
Method: DFT, GGA-PBE
State: relaxed

Results
ΔE_f ... 1.2 eV/f.u.
V ... 47 Å³ per cell
Symmetry ... Imm2, No. 44
Polymorph energy (0 for the lowest one) ... 1011 meV per atom

a = 4.583 Å, b = 4.583 Å, c = 4.583 Å
α = 142.16°, β = 125.64°, γ = 68.13°
Fractional coordinates of all 3 atoms:
P  0.662  0.662  0.000
As  0.989  0.989  0.000
Ir  0.349  0.349  0.000


6.
Material: AsPIr
Method: DFT, GGA-PBE
State: relaxed

Results
ΔE_f ... -1.9 eV/f.u.
V ... 202 Å³ per cell
Symmetry ... P2_1/c, No. 14
Polymorph energy (0 for the lowest one) ... 0 meV per atom

a = 5.988 Å, b = 6.055 Å, c = 5.985 Å
α = 111.64°, β = 90.00°, γ = 90.00°
Fractional coordinates of all 12 atoms:
Ir  0.509  0.205  0.718
Ir  0.491  0.795  0.282
Ir  0.991  0.705  0.718
Ir  0.009  0.295  0.282
P  0.871  0.318  0.658
P  0.371  0.182  0.342
P  0.129  0.682  0.342
P  0.629  0.818  0.658
As  0.122  0.133  0.843
As  0.378  0.633  0.843
As  0.622  0.367  0.157
As  0.878  0.867  0.157